(1)
Computed, not measured: an optimized crystal structure of VTcP2 at the PBE-GGA level of DFT.

The space group is R-3m (No. 166, hexagonal axes) and the conventional cell measures 3.6325, 3.6325 and 14.9819 Å, with angles of 90.00, 90.00 and 120.00 degrees. Symmetry generates all atoms from V at (0.0000, 0.0000, 0.0000), Tc at (0.0000, 0.0000, 0.5000) and P at (0.0000, 0.0000, 0.2478).

The calculation puts the energy above the most stable polymorph in this dataset at 1.81 eV/f.u.



(2)
Computed, not measured: an optimized crystal structure of SmHfZnRu at the PBE-GGA level of DFT.

The space group is F-43m (No. 216) and the conventional cell measures 6.8329, 6.8329 and 6.8329 Å, with angles of 90.00, 90.00 and 90.00 degrees. Symmetry generates all atoms from Sm at (0.0000, 0.0000, 0.0000), Hf at (0.0000, 0.0000, 0.5000), Zn at (0.2500, 0.2500, 0.2500) and Ru at (0.2500, 0.2500, 0.7500).

As for the total energy: -6.547 eV per atom.



(3)
Computed, not measured: an optimized crystal structure of Sm8Ge3HSe4 at the PBE-GGA level of DFT.

The space group is R-3m (No. 166, hexagonal axes) and the conventional cell measures 8.3353, 8.3353 and 20.5648 Å, with angles of 90.00, 90.00 and 120.00 degrees. Symmetry generates all atoms from Sm at (0.0000, 0.0000, 0.2471), Sm at (0.0051, 0.5025, 0.7526), Ge at (0.0000, 0.5000, 0.5000), H at (0.0000, 0.0000, 0.5000), Se at (0.0000, 0.0000, 0.0000) and Se at (0.0000, 0.5000, 0.0000).

As for the total energy: -5.609 eV per atom.



(4)
Computed, not measured: an optimized crystal structure of PmY8Er4 at the PBE-GGA level of DFT.

The space group is R-3m (No. 166, hexagonal axes) and the conventional cell measures 7.2896, 7.2896 and 27.2351 Å, with angles of 90.00, 90.00 and 120.00 degrees. Symmetry generates all atoms from Pm at (0.0000, 0.0000, 0.0000), Y at (0.0000, 0.0000, 0.2824), Y at (0.0347, 0.5173, 0.2676), Er at (0.0000, 0.0000, 0.5000) and Er at (0.0000, 0.5000, 0.5000).

As for the total energy: -5.539 eV per atom.



(5)
Computed, not measured: an optimized crystal structure of Hf2TlB at the PBE-GGA level of DFT.

The space group is Fm-3m (No. 225) and the conventional cell measures 6.6570, 6.6570 and 6.6570 Å, with angles of 90.00, 90.00 and 90.00 degrees. Symmetry generates all atoms from Hf at (0.2500, 0.2500, 0.2500), Tl at (0.0000, 0.0000, 0.0000) and B at (0.0000, 0.0000, 0.5000).

The calculation puts the energy above the most stable polymorph in this dataset at 3.98 eV/f.u.



(6)
Computed, not measured: an optimized crystal structure of SrCd2SiO4 at the PBE-GGA level of DFT.

The space group is Fmm2 (No. 42) and the conventional cell measures 7.1509, 7.1614 and 10.6600 Å, with angles of 90.00, 90.00 and 90.00 degrees. Symmetry generates all atoms from Sr at (0.0000, 0.0000, 0.0000), Cd at (0.2500, 0.2500, 0.2497), Si at (0.0000, 0.0000, 0.4995), O at (0.0000, 0.1884, 0.5913) and O at (0.1887, 0.0000, 0.4077).

As for the total energy: -5.438 eV per atom.



(7)
Computed, not measured: an optimized crystal structure of Cs2SiBi at the PBE-GGA level of DFT.

The space group is P2_1/c (No. 14) and the conventional cell measures 11.0435, 10.0357 and 8.6069 Å, with angles of 90.00, 99.02 and 90.00 degrees. Symmetry generates all atoms from Cs at (0.2490, 0.1189, 0.2830), Cs at (0.2489, 0.6192, 0.3166), Si at (0.0002, 0.1059, 0.5522) and Bi at (0.0002, 0.1441, 0.8847).

The calculation puts the energy above the most stable polymorph in this dataset at 0.00 eV/f.u.



(8)
Computed, not measured: an optimized crystal structure of LiTl2As at the PBE-GGA level of DFT.

The space group is R3m (No. 160, hexagonal axes) and the conventional cell measures 3.7261, 3.7261 and 25.2731 Å, with angles of 90.00, 90.00 and 120.00 degrees. Symmetry generates all atoms from Li at (0.0000, 0.0000, 0.0000), Tl at (0.0000, 0.0000, 0.5294), Tl at (0.0000, 0.0000, 0.7557) and As at (0.0000, 0.0000, 0.2744).

The calculation puts the energy above the most stable polymorph in this dataset at 0.84 eV/f.u.



(9)
Computed, not measured: an optimized crystal structure of KWCl2 at the PBE-GGA level of DFT.

The space group is R-3m (No. 166, hexagonal axes) and the conventional cell measures 3.2178, 3.2178 and 27.7860 Å, with angles of 90.00, 90.00 and 120.00 degrees. Symmetry generates all atoms from K at (0.0000, 0.0000, 0.0000), W at (0.0000, 0.0000, 0.5000) and Cl at (0.0000, 0.0000, 0.4150).

The calculation puts the energy above the most stable polymorph in this dataset at 0.00 eV/f.u.



(10)
Computed, not measured: an optimized crystal structure of CoTcPd at the PBE-GGA level of DFT.

The space group is C2/m (No. 12) and the conventional cell measures 8.9593, 2.6450 and 7.0640 Å, with angles of 90.00, 92.38 and 90.00 degrees. Symmetry generates all atoms from Co at (0.1502, 0.0000, 0.4236), Tc at (0.1327, 0.0000, 0.0734) and Pd at (0.0863, 0.5000, 0.7292).

The calculation puts the energy above the most stable polymorph in this dataset at 0.44 eV/f.u.



(11)
Computed, not measured: an optimized crystal structure of HoPuMg2O6 at the PBE-GGA level of DFT.

The space group is R3 (No. 146, hexagonal axes) and the conventional cell measures 5.4799, 5.4799 and 14.6606 Å, with angles of 90.00, 90.00 and 120.00 degrees. Symmetry generates all atoms from Ho at (0.0000, 0.0000, 0.0000), Pu at (0.0000, 0.0000, 0.4911), Mg at (0.0000, 0.0000, 0.2817), Mg at (0.0000, 0.0000, 0.7898), O at (0.0078, 0.3097, 0.8903) and O at (0.0245, 0.7194, 0.3936).

As for the total energy: -8.091 eV per atom.



| no. | mass density (g cm⁻³) |
| --- | --- |
| 1 | 6.14 |
| 2 | 10.31 |
| 3 | 7.00 |
| 4 | 6.06 |
| 5 | 12.88 |
| 6 | 4.92 |
| 7 | 3.55 |
| 8 | 8.04 |
| 9 | 5.87 |
| 10 | 10.46 |
| 11 | 7.23 |